HgSF: optimized geometry, PBE-GGA.

Cell: 6.4112 7.2755 4.9973 Å, 88.52 92.49 145.73°
Closest atoms and distances in Å follow each position.
Element x y z (fractional)
1 Hg 0.8331 0.6352 0.7637  1 F 2.16, 1 S 2.40
2 Hg 0.1669 0.3648 0.2363  1 F 2.16, 1 S 2.40
3 S 0.5219 0.9766 0.2057  1 S 2.12
4 S 0.4781 0.0234 0.7943  1 S 2.12
5 F 0.7149 0.6432 0.2606  1 Hg 2.16
6 F 0.2851 0.3568 0.7394  1 Hg 2.16

Its total energy is -2.837 eV per atom. The value obtained for the offset from the most stable computed form is 0 meV/atom. The value obtained for the uncorrected formation energy is -0.74 eV per atom.